Record 1
DFT (PBE) results for a geometry-optimized Rb3Tl7In2 structure. Values from VASP.

Calculated values
E = -25.0 eV for the cell shown
DOS at the Fermi energy = 6.17 states/eV per cell
total magnetic moment = 0.000 Bohr magnetons per cell
formation enthalpy at 0 K = 0.00 eV per atom
space group = P2/m (10)

Cell and atoms, written as Quantum ESPRESSO input:
```
&SYSTEM
  ibrav = 0, nat = 12, ntyp = 3
/
ATOMIC_SPECIES
Rb 85.47 Rb.upf
Tl 204.38 Tl.upf
In 114.82 In.upf
ATOMIC_POSITIONS angstrom
Rb 0.0000 0.0000 0.0000
Rb 0.7279 0.0000 8.7952
Rb 3.5208 0.0000 5.5001
Tl 0.2223 0.0000 3.8879
Tl -0.7621 2.4815 11.5429
Tl 0.2185 2.4815 5.9587
Tl 3.2913 2.4815 0.0000
Tl 4.0302 2.4815 8.3366
Tl 5.0108 2.4815 2.7524
Tl 4.0264 0.0000 10.4074
In 1.7684 2.4815 2.7741
In 2.4802 2.4815 11.5212
CELL_PARAMETERS angstrom
6.5825 0.0000 0.0000
0.0000 4.9630 0.0000
-2.3339 0.0000 14.2953
```

***

Record 2
DFT (PBE) results for a geometry-optimized Pr4OsSCl2 structure. Values from VASP.

Calculated values
E = -48.2 eV for the cell shown
ΔE_f (raw) = -1.248 eV/atom
DOS at the Fermi energy = 6.34 states/eV per cell
total magnetic moment = 0.000 Bohr magnetons per cell
space group = P2/m (10)

Cell and atoms, written as Quantum ESPRESSO input:
```
&SYSTEM
  ibrav = 0, nat = 8, ntyp = 4
/
ATOMIC_SPECIES
Pr 140.91 Pr.upf
Os 190.23 Os.upf
S 32.06 S.upf
Cl 35.45 Cl.upf
ATOMIC_POSITIONS angstrom
Pr 1.1847 0.0000 1.5370
Pr 0.1260 2.0363 5.7153
Pr 5.0367 2.0363 1.5345
Pr 3.9781 0.0000 5.7128
Os 0.0000 2.0363 0.0000
S 3.7067 0.0000 0.0000
Cl -1.1253 0.0000 3.6249
Cl 2.5814 2.0363 3.6249
CELL_PARAMETERS angstrom
7.4134 0.0000 0.0000
0.0000 4.0725 0.0000
-2.2506 0.0000 7.2498
```

***

Record 3
DFT (PBE) results for a geometry-optimized AgGeS3 structure. Values from VASP.

Calculated values
E = -39.1 eV for the cell shown
ΔE_f (raw) = 0.062 eV/atom
DOS at the Fermi energy = 5.66 states/eV per cell
total magnetic moment = 0.000 Bohr magnetons per cell
polymorph energy (0 for the lowest one) = 0.021 eV per atom
space group = C2/m (12)

Cell and atoms, written as Quantum ESPRESSO input:
```
&SYSTEM
  ibrav = 0, nat = 10, ntyp = 3
/
ATOMIC_SPECIES
Ag 107.87 Ag.upf
Ge 72.64 Ge.upf
S 32.06 S.upf
ATOMIC_POSITIONS angstrom
Ag 5.1805 0.0000 1.7761
Ag 17.2945 0.0000 5.0352
Ge 8.6201 0.0000 1.5970
Ge 13.8549 0.0000 5.2142
S 0.9866 0.0000 5.1135
S 4.0582 0.0000 6.2726
S 7.1878 0.0000 3.4272
S 15.2873 0.0000 3.3841
S 18.4168 0.0000 0.5387
S 21.4884 0.0000 1.6978
CELL_PARAMETERS angstrom
11.3357 -1.6935 0.0000
11.3357 1.6935 0.0000
-0.1962 0.0000 6.8113
```

***

Record 4
DFT (PBE) results for a geometry-optimized H6Se3I2 structure. Values from VASP.

Calculated values
E = -68.0 eV for the cell shown
total magnetic moment = 0.000 Bohr magnetons per cell
space group = C2/c (15)

Cell and atoms, written as Quantum ESPRESSO input:
```
&SYSTEM
  ibrav = 0, nat = 22, ntyp = 3
/
ATOMIC_SPECIES
H 1.01 H.upf
Se 78.96 Se.upf
I 126.90 I.upf
ATOMIC_POSITIONS angstrom
H 4.4632 3.5949 7.0306
H 3.4220 0.9088 1.2962
H 3.4354 0.9213 3.3755
H 6.7067 3.5949 7.0321
H 3.4131 -0.9088 5.9837
H 3.4265 -0.9213 8.0631
H 7.7523 0.9213 1.3120
H 7.7656 0.9088 3.3914
H 4.4721 -3.5949 2.3430
H 7.7434 -0.9213 5.9996
H 7.7567 -0.9088 8.0790
H 6.7156 -3.5949 2.3445
Se 2.6392 0.1875 2.3448
Se 2.6303 -0.1875 7.0324
Se 5.5849 2.4919 7.0313
Se 5.5938 -2.4919 2.3438
Se 8.5485 0.1875 2.3427
Se 8.5396 -0.1875 7.0303
I 5.5991 2.6745 0.4704
I 5.5886 2.6745 4.2172
I 5.5902 -2.6745 5.1579
I 5.5797 -2.6745 8.9047
CELL_PARAMETERS angstrom
5.5983 -5.3300 0.0000
5.5983 5.3300 0.0000
-0.0178 0.0000 9.3751
```

***

Record 5
DFT (PBE) results for a geometry-optimized Sc6OsRh2 structure. Values from VASP.

Calculated values
E = -137.9 eV for the cell shown
DOS at the Fermi energy = 15.72 states/eV per cell
total magnetic moment = 0.000 Bohr magnetons per cell
formation enthalpy at 0 K = -0.56 eV per atom
space group = Immm (71)

Cell and atoms, written as Quantum ESPRESSO input:
```
&SYSTEM
  ibrav = 0, nat = 18, ntyp = 3
/
ATOMIC_SPECIES
Sc 44.96 Sc.upf
Os 190.23 Os.upf
Rh 102.91 Rh.upf
ATOMIC_POSITIONS angstrom
Sc 4.4239 -2.5368 2.9566
Sc 2.8666 2.2964 0.0000
Sc 5.9812 2.2964 0.0000
Sc 2.7285 0.0000 2.3315
Sc 6.1193 0.0000 2.3315
Sc 0.0000 1.9290 1.5221
Sc 4.4239 2.5368 2.9566
Sc -1.6954 4.4657 2.1472
Sc 1.6954 4.4657 2.1472
Sc -1.5573 2.1694 4.4788
Sc 1.5573 2.1694 4.4788
Sc 0.0000 7.0025 1.5221
Os 4.4239 0.0000 0.0000
Os 0.0000 4.4657 0.0000
Rh 1.3620 0.0000 0.0000
Rh 7.4858 0.0000 0.0000
Rh 0.0000 0.0000 3.2072
Rh 0.0000 0.0000 5.7503
CELL_PARAMETERS angstrom
-4.4239 4.4657 4.4788
4.4239 -4.4657 4.4788
4.4239 4.4657 -4.4788
```

***

Record 6
DFT (PBE) results for a geometry-optimized DyAuN structure. Values from VASP.

Calculated values
E = -38.3 eV for the cell shown
ΔE_f (raw) = -0.988 eV/atom
DOS at the Fermi energy = 0.81 states/eV per cell
total magnetic moment = 0.000 Bohr magnetons per cell
space group = I4/mmm (139)

Cell and atoms, written as Quantum ESPRESSO input:
```
&SYSTEM
  ibrav = 0, nat = 6, ntyp = 3
/
ATOMIC_SPECIES
Dy 162.50 Dy.upf
Au 196.97 Au.upf
N 14.01 N.upf
ATOMIC_POSITIONS angstrom
Dy 0.0000 0.0000 3.3356
Dy 0.0000 0.0000 14.9446
Au 0.0000 0.0000 7.8585
Au 0.0000 0.0000 10.4216
N 0.0000 0.0000 5.6182
N 0.0000 0.0000 12.6619
CELL_PARAMETERS angstrom
-1.7188 1.7188 9.1401
1.7188 -1.7188 9.1401
1.7188 1.7188 -9.1401
```

***

Record 7
DFT (PBE) results for a geometry-optimized LiEr2Zn4Ga3 structure. Values from VASP.

Calculated values
E = -28.9 eV for the cell shown
DOS at the Fermi energy = 4.22 states/eV per cell
total magnetic moment = 0.000 Bohr magnetons per cell
formation enthalpy at 0 K = -0.37 eV per atom
space group = P-4m2 (115)

Cell and atoms, written as Quantum ESPRESSO input:
```
&SYSTEM
  ibrav = 0, nat = 10, ntyp = 4
/
ATOMIC_SPECIES
Li 6.94 Li.upf
Er 167.26 Er.upf
Zn 65.41 Zn.upf
Ga 69.72 Ga.upf
ATOMIC_POSITIONS angstrom
Li 0.0000 0.0000 0.0000
Er 0.0000 2.0753 7.8772
Er 2.0753 0.0000 2.6779
Zn 0.0000 0.0000 5.2775
Zn 0.0000 2.0753 1.3796
Zn 2.0753 0.0000 9.1755
Zn 2.0753 2.0753 5.2775
Ga 0.0000 2.0753 3.7846
Ga 2.0753 0.0000 6.7705
Ga 2.0753 2.0753 0.0000
CELL_PARAMETERS angstrom
4.1507 0.0000 0.0000
0.0000 4.1507 0.0000
0.0000 0.0000 10.5551
```

***

Record 8
DFT (PBE) results for a geometry-optimized Cd3PtAu6 structure. Values from VASP.

Calculated values
E = -59.3 eV for the cell shown
DOS at the Fermi energy = 8.40 states/eV per cell
total magnetic moment = 0.000 Bohr magnetons per cell
formation enthalpy at 0 K = -0.12 eV per atom
space group = P-1 (2)

Cell and atoms, written as Quantum ESPRESSO input:
```
&SYSTEM
  ibrav = 0, nat = 20, ntyp = 3
/
ATOMIC_SPECIES
Cd 112.41 Cd.upf
Pt 195.08 Pt.upf
Au 196.97 Au.upf
ATOMIC_POSITIONS angstrom
Cd 1.2126 -0.0882 2.2763
Cd 1.2128 2.2536 0.2364
Cd 1.2019 3.3127 6.0431
Cd 3.6395 1.1511 3.6559
Cd 3.6287 2.2102 9.4626
Cd 3.6288 4.5519 7.4227
Pt 1.2028 5.6009 4.2400
Pt 3.6386 -1.1371 5.4590
Au 1.2082 -1.6671 7.0298
Au 1.2083 0.4923 5.1755
Au 1.2012 1.1654 8.0968
Au 1.2073 5.0031 1.3612
Au 1.1985 3.9207 9.0168
Au 1.2101 2.7672 3.1981
Au 3.6313 1.6965 6.5009
Au 3.6429 0.5431 0.6822
Au 3.6341 -0.5394 8.3378
Au 3.6403 3.2984 1.6022
Au 3.6331 3.9714 4.5235
Au 3.6332 6.1309 2.6692
CELL_PARAMETERS angstrom
4.8582 0.0000 0.0000
-0.0090 7.8303 0.0000
-0.0077 -3.3665 9.6990
```

***

> Which value of E does entry 1 give?

-25.0 eV for the cell shown